Here is an optimized crystal structure of Ac6Ir2PbBr3 from Alexandria via LeMat-Bulk. Energies are from GGA-PBE.

Results
Calculated volume (Å³/f.u.): 436
Space-group type: C2/m
ΔE_f (raw) (kcal/mol of atoms): -25.2

a b c (Å): 4.488 9.807 10.614
angles (deg): 106.92 102.21 90.00
Positions (direct):
Br 0.162 0.845 0.324
Br 0.838 0.155 0.676
Br 0.500 0.500 0.000
Ac 0.319 0.447 0.639
Ac 0.023 0.256 0.046
Ac 0.977 0.744 0.954
Ac 0.668 0.135 0.336
Ac 0.681 0.553 0.361
Ac 0.332 0.865 0.664
Ir 0.829 0.658 0.659
Ir 0.171 0.342 0.341
Pb 0.500 0.000 0.000